# 1
# GGA-PBE LiY2Rh, relaxed
# ρ (g/cm3): 5.533
# Raw total energy (eV per atom): -5.952
# Spin magnetization (μB per atom): 0.000
# DOS at the Fermi energy (states/eV/f.u.): 3.4
data_LiY2Rh
_chemical_formula_sum 'Li1 Y2 Rh1'
_cell_length_a 4.879
_cell_length_b 4.879
_cell_length_c 3.627
_cell_angle_alpha 90.00
_cell_angle_beta 90.00
_cell_angle_gamma 90.00
_space_group_name_H-M_alt 'P 4/m m m'
_space_group_IT_number 123
_space_group_name_Hall '-P 4 2'
loop_
_atom_site_label
_atom_site_fract_x
_atom_site_fract_y
_atom_site_fract_z
Li1 0.000 0.000 0.000
Y1 0.000 0.500 0.500
Rh1 0.500 0.500 0.000

***

# 2
# GGA-PBE Mn2InMo, relaxed
# ρ (g/cm3): 8.160
# Raw total energy (eV per atom): -7.598
# Spin magnetization (μB per atom): 1.250
# DOS at the Fermi energy (states/eV/f.u.): 3.2
data_Mn2InMo
_chemical_formula_sum 'Mn6 In3 Mo3'
_cell_length_a 2.9678
_cell_length_b 2.9678
_cell_length_c 25.6621
_cell_angle_alpha 90.00
_cell_angle_beta 90.00
_cell_angle_gamma 120.00
_space_group_name_H-M_alt 'R -3 m'
_space_group_IT_number 166
_space_group_name_Hall '-R 3 2"'
loop_
_atom_site_label
_atom_site_fract_x
_atom_site_fract_y
_atom_site_fract_z
Mn1 0.0000 0.0000 0.2426
In1 0.0000 0.0000 0.0000
Mo1 0.0000 0.0000 0.5000

***

# 3
# GGA-PBE Pr6Te3PbSe2, relaxed
# Uncorrected formation energy (eV/atom): -1.445
# ρ (g/cm3): 7.000
# Raw total energy (eV per atom): -5.510
# Spin magnetization (μB per atom): 0.000
# DOS at the Fermi energy (states/eV/f.u.): 4.6
data_Pr6Te3PbSe2
_chemical_formula_sum 'Pr12 Te6 Pb2 Se4'
_cell_length_a 19.572
_cell_length_b 4.441
_cell_length_c 8.979
_cell_angle_alpha 90.00
_cell_angle_beta 104.35
_cell_angle_gamma 90.00
_space_group_name_H-M_alt 'C 1 2/m 1'
_space_group_IT_number 12
loop_
_space_group_symop_operation_xyz
'x,y,z'
'-x,-y,-z'
'-x,y,-z'
'x,-y,z'
'x+1/2,y+1/2,z'
'-x+1/2,-y+1/2,-z'
'-x+1/2,y+1/2,-z'
'x+1/2,-y+1/2,z'
loop_
_atom_site_label
_atom_site_fract_x
_atom_site_fract_y
_atom_site_fract_z
Pr1 0.008 0.000 0.251
Pr2 0.167 0.500 0.104
Pr3 0.174 0.500 0.568
Te1 0.000 0.500 0.500
Te2 0.164 0.000 0.832
Pb1 0.000 0.500 0.000
Se1 0.167 0.000 0.334

***

# 4
# GGA-PBE Nd12Ru5Pb, relaxed
# ρ (g/cm3): 8.033
# Raw total energy (eV per atom): -6.208
# Spin magnetization (μB per atom): 0.000
# DOS at the Fermi energy (states/eV/f.u.): 16.7
data_Nd12Ru5Pb
_chemical_formula_sum 'Nd24 Ru10 Pb2'
_cell_length_a 9.662
_cell_length_b 9.915
_cell_length_c 10.545
_cell_angle_alpha 90.00
_cell_angle_beta 90.00
_cell_angle_gamma 90.00
_space_group_name_H-M_alt 'I m m m'
_space_group_IT_number 71
_space_group_name_Hall '-I 2 2'
loop_
_atom_site_label
_atom_site_fract_x
_atom_site_fract_y
_atom_site_fract_z
Nd1 0.000 0.189 0.224
Nd2 0.185 0.500 0.173
Nd3 0.220 0.321 0.500
Ru1 0.000 0.000 0.000
Ru2 0.000 0.335 0.000
Ru3 0.000 0.500 0.379
Pb1 0.000 0.000 0.500

***

# 5
# GGA-PBE Pm5Cu4Os, relaxed
# ρ (g/cm3): 8.646
# Raw total energy (eV per atom): -5.267
# Spin magnetization (μB per atom): 0.000
# DOS at the Fermi energy (states/eV/f.u.): 6.2
data_Pm5Cu4Os
_chemical_formula_sum 'Pm5 Cu4 Os1'
_cell_length_a 3.519
_cell_length_b 3.519
_cell_length_c 18.133
_cell_angle_alpha 90.00
_cell_angle_beta 90.00
_cell_angle_gamma 90.00
_space_group_name_H-M_alt 'P 4/m m m'
_space_group_IT_number 123
_space_group_name_Hall '-P 4 2'
loop_
_atom_site_label
_atom_site_fract_x
_atom_site_fract_y
_atom_site_fract_z
Pm1 0.000 0.000 0.000
Pm2 0.000 0.000 0.201
Pm3 0.000 0.000 0.405
Cu1 0.500 0.500 0.099
Cu2 0.500 0.500 0.298
Os1 0.500 0.500 0.500

***

# 6
# GGA-PBE Sm6Ru2N, relaxed
# Uncorrected formation energy (eV/atom): -0.499
# ρ (g/cm3): 8.202
# Raw total energy (eV per atom): -6.632
# Spin magnetization (μB per atom): 0.000
# DOS at the Fermi energy (states/eV/f.u.): 6.4
data_Sm6Ru2N
_chemical_formula_sum 'Sm12 Ru4 N2'
_cell_length_a 6.583
_cell_length_b 7.273
_cell_length_c 11.474
_cell_angle_alpha 90.00
_cell_angle_beta 124.49
_cell_angle_gamma 90.00
_space_group_name_H-M_alt 'P 1 21/c 1'
_space_group_IT_number 14
loop_
_space_group_symop_operation_xyz
'x,y,z'
'-x,-y,-z'
'-x,y+1/2,-z+1/2'
'x,-y+1/2,z+1/2'
loop_
_atom_site_label
_atom_site_fract_x
_atom_site_fract_y
_atom_site_fract_z
Sm1 0.122 0.048 0.244
Sm2 0.231 0.692 0.063
Sm3 0.373 0.167 0.061
Ru1 0.285 0.098 0.754
N1 0.000 0.000 0.000

***

# 7
# GGA-PBE Ce3BiO4, relaxed
# Uncorrected formation energy (eV/atom): -2.965
# ρ (g/cm3): 7.694
# Raw total energy (eV per atom): -8.155
# Spin magnetization (μB per atom): 0.204
# DOS at the Fermi energy (states/eV/f.u.): 12.3
data_Ce3BiO4
_chemical_formula_sum 'Ce3 Bi1 O4'
_cell_length_a 3.968
_cell_length_b 3.968
_cell_length_c 9.504
_cell_angle_alpha 90.00
_cell_angle_beta 90.00
_cell_angle_gamma 90.00
_space_group_name_H-M_alt 'P 4/m m m'
_space_group_IT_number 123
_space_group_name_Hall '-P 4 2'
loop_
_atom_site_label
_atom_site_fract_x
_atom_site_fract_y
_atom_site_fract_z
Ce1 0.000 0.000 0.000
Ce2 0.500 0.500 0.268
Bi1 0.000 0.000 0.500
O1 0.000 0.500 0.149

***

# 8
# GGA-PBE IrOs2Pb, relaxed
# ρ (g/cm3): 19.288
# Raw total energy (eV per atom): -7.935
# Spin magnetization (μB per atom): 0.000
# DOS at the Fermi energy (states/eV/f.u.): 5.9
data_IrOs2Pb
_chemical_formula_sum 'Ir1 Os2 Pb1'
_cell_length_a 2.927
_cell_length_b 2.927
_cell_length_c 7.837
_cell_angle_alpha 90.00
_cell_angle_beta 90.00
_cell_angle_gamma 90.00
_space_group_name_H-M_alt 'P 4/m m m'
_space_group_IT_number 123
_space_group_name_Hall '-P 4 2'
loop_
_atom_site_label
_atom_site_fract_x
_atom_site_fract_y
_atom_site_fract_z
Ir1 0.000 0.000 0.000
Os1 0.500 0.500 0.222
Pb1 0.000 0.000 0.500